Density functional theory data (PBE with a Hubbard U) for a geometry-optimized Nd2ZnCoAs2O2 structure.

Results
* raw total energy: -6.06 eV/atom
* symmetry: P-4m2, No. 115

a b c (Å): 4.022 4.022 9.018
angles (deg): 90.00 90.00 90.00
Atoms (fractional coordinates):
Nd 0.000 0.500 0.132
Nd 0.500 0.000 0.868
Zn 0.500 0.500 0.500
Co 0.000 0.000 0.500
As 0.000 0.500 0.671
As 0.500 0.000 0.329
O 0.000 0.000 0.000
O 0.500 0.500 0.000